(1)
A geometry-optimized BaNb2O8 structure. Source: Alexandria, functional GGA-PBE.

Output
* formation energy (no corrections): -18.405 eV/f.u.

a = 4.880 Å, b = 4.880 Å, c = 6.731 Å
α = 90.00°, β = 90.00°, γ = 90.00°
Each line ends with the local moment (μB).
Fractional positions:
Nb  0.000  0.500  0.000  -0.14
Nb  0.500  0.000  0.000  -0.14
O  0.750  0.750  0.817  0.37
O  0.250  0.250  0.183  0.37
O  0.250  0.750  0.183  0.37
O  0.750  0.250  0.817  0.37
O  0.250  0.750  0.817  0.37
O  0.750  0.750  0.183  0.37
O  0.250  0.250  0.817  0.37
O  0.750  0.250  0.183  0.37
Ba  0.500  0.500  0.500  -0.01

=====

(2)
A geometry-optimized Ba13Nb14O42 structure. Source: Alexandria, functional GGA-PBE.

Output
* formation energy (no corrections): -191.061 eV/f.u.

a = 9.255 Å, b = 10.141 Å, c = 11.715 Å
α = 73.27°, β = 71.55°, γ = 90.00°
Fractional positions:
O  0.855  0.218  0.109
O  0.714  0.429  0.964
O  0.285  0.071  0.536
O  0.857  0.715  0.607
O  0.000  0.500  0.250
O  0.145  0.290  0.891
O  0.858  0.214  0.357
O  0.286  0.071  0.286
O  0.290  0.072  0.036
O  0.715  0.929  0.464
O  0.571  0.643  0.821
O  0.000  0.500  0.500
O  0.145  0.782  0.891
O  0.145  0.782  0.145
O  0.142  0.786  0.643
O  0.855  0.218  0.855
O  0.571  0.643  0.571
O  0.286  0.571  0.536
O  0.000  0.500  0.000
O  0.429  0.857  0.178
O  0.714  0.929  0.714
O  0.000  0.500  0.750
O  0.429  0.357  0.929
O  0.000  0.000  0.747
O  0.286  0.571  0.036
O  0.429  0.357  0.429
O  0.710  0.928  0.964
O  0.143  0.285  0.393
O  0.429  0.857  0.679
O  0.571  0.143  0.822
O  0.571  0.643  0.322
O  0.571  0.143  0.321
O  0.429  0.357  0.678
O  0.571  0.643  0.071
O  0.714  0.429  0.464
O  0.710  0.928  0.217
O  0.857  0.215  0.607
O  0.000  0.000  0.253
O  0.290  0.072  0.783
O  0.143  0.785  0.393
O  0.429  0.357  0.179
O  0.855  0.710  0.109
Nb  0.647  0.788  0.141
Nb  0.211  0.929  0.718
Nb  0.789  0.071  0.282
Nb  0.212  0.929  0.211
Nb  0.500  0.500  0.500
Nb  0.357  0.214  0.357
Nb  0.070  0.647  0.070
Nb  0.929  0.357  0.428
Nb  0.353  0.212  0.859
Nb  0.788  0.071  0.789
Nb  0.930  0.353  0.930
Nb  0.643  0.786  0.643
Nb  0.500  0.500  0.000
Nb  0.071  0.643  0.572
Ba  0.000  0.000  0.500
Ba  0.423  0.859  0.930
Ba  0.572  0.142  0.572
Ba  0.714  0.428  0.715
Ba  0.141  0.281  0.649
Ba  0.859  0.719  0.351
Ba  0.577  0.141  0.070
Ba  0.285  0.571  0.786
Ba  0.141  0.282  0.140
Ba  0.428  0.858  0.428
Ba  0.715  0.429  0.214
Ba  0.286  0.572  0.285
Ba  0.859  0.718  0.860

=====

(3)
A geometry-optimized Ba2NbO5 structure. Source: Alexandria, functional GGA-PBE.

Output
* formation energy (no corrections): -19.857 eV/f.u.
* polymorph energy (0 for the lowest one): 0 meV per atom

a = 6.428 Å, b = 6.428 Å, c = 5.275 Å
α = 115.21°, β = 115.21°, γ = 94.79°
Each line ends with the local moment (μB).
Fractional positions:
Ba  0.332  0.772  0.496  0.01
Ba  0.772  0.332  0.496  0.01
O  0.773  0.773  0.582  0.50
O  0.770  0.182  0.915  0.18
O  0.307  0.307  0.188  0.02
O  0.046  0.046  0.382  0.01
O  0.182  0.770  0.915  0.18
Nb  0.042  0.042  0.026  -0.04

=====

Please write out number 3 again, unchanged.
A geometry-optimized Ba2NbO5 structure. Source: Alexandria, functional GGA-PBE.

Output
* formation energy (no corrections): -19.857 eV/f.u.
* polymorph energy (0 for the lowest one): 0 meV per atom

a = 6.428 Å, b = 6.428 Å, c = 5.275 Å
α = 115.21°, β = 115.21°, γ = 94.79°
Each line ends with the local moment (μB).
Fractional positions:
Ba  0.332  0.772  0.496  0.01
Ba  0.772  0.332  0.496  0.01
O  0.773  0.773  0.582  0.50
O  0.770  0.182  0.915  0.18
O  0.307  0.307  0.188  0.02
O  0.046  0.046  0.382  0.01
O  0.182  0.770  0.915  0.18
Nb  0.042  0.042  0.026  -0.04